CsGdTlTe3 | PBE | relaxed

Summary:
Energy above the most stable polymorph in this dataset   0.00 eV/f.u.
Space group   No. 62
Volume   41.92 Å³ per atom
Total energy   -91.746 eV per cell

Cell lengths 17.035, 4.631, 12.755 Å; angles 90.00, 90.00, 90.00 degrees
Fractional positions:
Cs 0.230 0.250 0.048
Cs 0.270 0.750 0.548
Cs 0.730 0.250 0.452
Cs 0.770 0.750 0.952
Gd 0.024 0.250 0.362
Gd 0.476 0.750 0.862
Gd 0.524 0.250 0.138
Gd 0.976 0.750 0.638
Tl 0.031 0.750 0.101
Tl 0.469 0.250 0.601
Tl 0.531 0.750 0.399
Tl 0.969 0.250 0.899
Te 0.080 0.750 0.849
Te 0.094 0.250 0.582
Te 0.138 0.750 0.289
Te 0.362 0.250 0.789
Te 0.406 0.750 0.082
Te 0.420 0.250 0.349
Te 0.580 0.750 0.651
Te 0.594 0.250 0.918
Te 0.638 0.750 0.211
Te 0.862 0.250 0.711
Te 0.906 0.750 0.418
Te 0.920 0.250 0.151